# YHoIr, relaxed, DFT GGA-PBE
data_YHoIr
_symmetry_space_group_name_H-M 'C 1 2/m 1'
_symmetry_Int_Tables_number 12
_cell_length_a 12.250
_cell_length_b 4.496
_cell_length_c 11.081
_cell_angle_alpha 90.00
_cell_angle_beta 101.24
_cell_angle_gamma 90.00
loop_
_symmetry_equiv_pos_as_xyz
'x,y,z'
'-x,-y,-z'
'-x,y,-z'
'x,-y,z'
'x+1/2,y+1/2,z'
'-x+1/2,-y+1/2,-z'
'-x+1/2,y+1/2,-z'
'x+1/2,-y+1/2,z'
loop_
_atom_site_label
_atom_site_type_symbol
_atom_site_fract_x
_atom_site_fract_y
_atom_site_fract_z
Y1 Y 0.071 0.000 0.176
Y2 Y 0.080 0.500 0.652
Ho1 Ho 0.150 0.500 0.968
Ho2 Ho 0.213 0.500 0.384
Ir1 Ir 0.087 0.000 0.436
Ir2 Ir 0.166 0.000 0.825
# Formation energy from the elements ... -665 meV per atom
# Energy above the most stable polymorph in this dataset ... 0.10 eV per formula unit
# E ... -175.18 eV/cell